Record 1
Material: Co2HgCl
Method: DFT, PBE-GGA
State: relaxed

- formation energy from raw total energies (meV per atom) = 321
- total magnetization (μB per formula unit) = 3.4
- E (eV per formula unit) = -15.1
- V (A^3/atom) = 19.68
- offset from the most stable computed form (eV per formula unit) = 0.38

a b c (Å): 3.6830 3.1352 6.8320
angles (deg): 86.32 90.00 90.00
Last column: nearest neighbours and their distance in Å.
Fractional coordinates of all 4 atoms:
Hg: 0.0000 0.3317 0.4264  4 Co 2.77-2.78
Co: 0.5000 0.3756 0.1212  2 Cl 2.36-2.37, 4 Co 2.43
Cl: 0.5000 0.9139 0.8617  4 Co 2.36-2.41
Co: 0.0000 0.8788 0.0908  2 Cl 2.41, 4 Co 2.43



Record 2
Material: Co2HgCl
Method: DFT, PBE-GGA
State: relaxed

- formation energy from raw total energies (meV per atom) = 379
- total magnetization (μB per formula unit) = 3.9
- E (eV per formula unit) = -14.8
- V (A^3/atom) = 20.28
- offset from the most stable computed form (eV per formula unit) = 0.61

a b c (Å): 6.2665 6.2665 6.2665
angles (deg): 151.85 135.37 53.60
Last column: nearest neighbours and their distance in Å.
Fractional coordinates of all 4 atoms:
Cl: 0.1761 0.6761 0.5000  2 Co 2.43
Co: 0.8572 0.3572 0.5000  2 Co 2.27
Hg: 0.4595 0.4595 0.0000  6 Co 2.64-2.88
Co: 0.0072 0.0072 0.0000  2 Co 2.27, 2 Cl 2.43



Record 3
Material: CoHgCl4
Method: DFT, PBE-GGA
State: relaxed

- formation energy from raw total energies (meV per atom) = 852
- total magnetization (μB per formula unit) = 4.9
- E (eV per formula unit) = -9.7
- V (A^3/atom) = 24.82
- offset from the most stable computed form (eV per formula unit) = 8.47

a b c (Å): 5.9494 5.9494 5.9494
angles (deg): 60.00 60.00 60.00
Last column: nearest neighbours and their distance in Å.
Fractional coordinates of all 6 atoms:
Co: 0.7500 0.7500 0.7500  12 Cl 3.49, 4 Hg 3.64
Cl: 0.3749 0.3749 0.8754  6 Cl 2.97-2.98
Cl: 0.8754 0.3749 0.3749  6 Cl 2.97-2.98
Cl: 0.3749 0.8754 0.3749  6 Cl 2.97-2.98
Cl: 0.3749 0.3749 0.3749  6 Cl 2.97-2.98
Hg: 0.0000 0.0000 0.0000  12 Cl 3.49, 4 Co 3.64



Record 4
Material: Co2HgCl8
Method: DFT, PBE-GGA
State: relaxed

- formation energy from raw total energies (meV per atom) = -500
- total magnetization (μB per formula unit) = 8.0
- E (eV per formula unit) = -34.8
- V (A^3/atom) = 33.15

a b c (Å): 8.6226 9.9921 10.3932
angles (deg): 73.65 65.49 64.44
Last column: nearest neighbours and their distance in Å.
Fractional coordinates of all 22 atoms:
Cl: 0.1943 0.2191 0.4779  1 Co 2.24
Hg: 0.9898 0.7500 0.2500  6 Cl 2.64-2.80
Cl: 0.6769 0.4612 0.7281  1 Co 2.18
Co: 0.6554 0.6352 0.5476  4 Cl 2.11-2.24
Cl: 0.7091 0.7329 0.9402  1 Co 2.11
Cl: 0.2983 0.0419 0.8437  1 Co 2.20
Cl: 0.8162 0.5419 0.3437  1 Co 2.20
Cl: 0.8912 0.2809 0.0221  1 Co 2.24
Cl: 0.1088 0.7191 0.9779  1 Co 2.24
Cl: 0.2909 0.2671 0.0598  1 Co 2.11
Cl: 0.1838 0.4581 0.6563  1 Co 2.20
Co: 0.1618 0.1352 0.0476  4 Cl 2.11-2.24
Cl: 0.8662 0.0388 0.7719  1 Co 2.18
Co: 0.3446 0.3648 0.4524  4 Cl 2.11-2.24
Cl: 0.3822 0.7671 0.5598  1 Co 2.11
Hg: 0.0102 0.2500 0.7500  6 Cl 2.64-2.80
Cl: 0.7017 0.9581 0.1563  1 Co 2.20
Cl: 0.3231 0.5388 0.2719  1 Co 2.18
Co: 0.8382 0.8648 0.9524  4 Cl 2.11-2.24
Cl: 0.1338 0.9612 0.2281  1 Co 2.18
Cl: 0.8057 0.7809 0.5221  1 Co 2.24
Cl: 0.6178 0.2329 0.4402  1 Co 2.11



Q: Among the records above, which one has the lowest formation energy from raw total energies?
A: Co2HgCl8